An optimized crystal structure of Tb3USe6, computed with PBE-GGA.

Unit cell a=11.624 b=4.101 c=11.891 alpha=90.00 beta=108.82 gamma=90.00
Positions (direct):
Tb  0.069  0.250  0.166
Tb  0.180  0.750  0.501
Tb  0.342  0.250  0.918
Tb  0.658  0.750  0.082
Tb  0.820  0.250  0.499
Tb  0.931  0.750  0.834
U  0.455  0.250  0.306
U  0.545  0.750  0.694
Se  0.018  0.250  0.383
Se  0.104  0.250  0.936
Se  0.247  0.750  0.277
Se  0.307  0.750  0.749
Se  0.387  0.250  0.536
Se  0.417  0.750  0.100
Se  0.583  0.250  0.900
Se  0.613  0.750  0.464
Se  0.693  0.250  0.251
Se  0.753  0.250  0.723
Se  0.896  0.750  0.064
Se  0.982  0.750  0.617

**Offset from the most stable computed form**: 0 meV per atom
**Magnetization**: 2.88 μB per formula unit
**Raw formation energy**: -1682.1 meV/atom
**Space group**: No. 11
**ρ**: 7.36 g/cm3

An optimized crystal structure of Ca2Si3PdAu4, computed with PBE-GGA.

Unit cell a=4.304 b=4.304 c=10.679 alpha=90.00 beta=90.00 gamma=90.00
Positions (direct):
Ca  0.000  0.500  0.248
Ca  0.500  0.000  0.752
Si  0.000  0.000  0.000
Si  0.000  0.500  0.628
Si  0.500  0.000  0.372
Pd  0.500  0.500  0.000
Au  0.000  0.000  0.500
Au  0.000  0.500  0.851
Au  0.500  0.000  0.149
Au  0.500  0.500  0.500

**Magnetization**: 0.00 μB per formula unit
**Raw formation energy**: -459.7 meV/atom
**Space group**: No. 115
**ρ**: 8.89 g/cm3

An optimized crystal structure of TbNd3Sm4, computed with PBE-GGA.

Unit cell a=11.750 b=7.366 c=6.368 alpha=90.00 beta=90.00 gamma=90.00
Positions (direct):
Tb  0.000  0.126  0.000
Tb  0.500  0.874  0.500
Nd  0.000  0.874  0.501
Nd  0.250  0.125  0.334
Nd  0.250  0.875  0.834
Nd  0.500  0.126  0.001
Nd  0.750  0.125  0.334
Nd  0.750  0.875  0.834
Sm  0.000  0.376  0.500
Sm  0.000  0.625  0.001
Sm  0.248  0.375  0.833
Sm  0.252  0.625  0.333
Sm  0.500  0.375  0.501
Sm  0.500  0.624  0.000
Sm  0.748  0.625  0.333
Sm  0.752  0.375  0.833

**Offset from the most stable computed form**: 0 meV per atom
**Magnetization**: 0.00 μB per formula unit
**Formation energy from the elements**: 0.030 eV/atom
**Space group**: No. 31
**ρ**: 7.19 g/cm3

An optimized crystal structure of AsSI, computed with PBE-GGA.

Unit cell a=3.840 b=3.840 c=7.192 alpha=90.00 beta=90.00 gamma=120.00
Positions (direct):
As  0.000  0.000  0.000
S  0.333  0.667  0.172
I  0.667  0.333  0.722

**Magnetization**: 0.00 μB per formula unit
**Raw formation energy**: -87.6 meV/atom
**Space group**: No. 156
**ρ**: 4.23 g/cm3